1.
A plane-wave DFT calculation with PBE was carried out for a relaxed Li2YHg7 crystal.

The space group is P3m1 (No. 156) and the conventional cell measures 4.9955, 4.9955 and 11.1662 Å, with angles of 90.00, 90.00 and 120.00 degrees. The distinct sites, in fractional coordinates, are Li at (0.0000, 0.0000, 0.0000), Li at (0.3333, 0.6667, 0.5825), Y at (0.6667, 0.3333, 0.3636), Hg at (0.0000, 0.0000, 0.2368), Hg at (0.0000, 0.0000, 0.5037), Hg at (0.0000, 0.0000, 0.7644), Hg at (0.3333, 0.6667, 0.2674), Hg at (0.3333, 0.6667, 0.9037), Hg at (0.6667, 0.3333, 0.0693) and Hg at (0.6667, 0.3333, 0.6427).

Its total energy is -1.46 eV/atom. The value obtained for the formation energy is -0.223 eV/atom. The value obtained for the density of states at the Fermi level is 2.19 states/eV per cell. For the theoretical density, the calculation gives 10369 kg/m³.

=====

2.
A plane-wave DFT calculation with PBE was carried out for a relaxed Co2TcP crystal.

The space group is P4/mmm (No. 123) and the conventional cell measures 2.6735, 2.6735 and 6.4792 Å, with angles of 90.00, 90.00 and 90.00 degrees. The distinct sites, in fractional coordinates, are Co at (0.0000, 0.0000, 0.2038), Tc at (0.5000, 0.5000, 0.5000) and P at (0.5000, 0.5000, 0.0000).

Its total energy is -7.62 eV/atom. The value obtained for the formation energy is -0.122 eV/atom. The value obtained for the density of states at the Fermi level is 2.92 states/eV per cell. For the theoretical density, the calculation gives 8851 kg/m³.

=====

3.
A plane-wave DFT calculation with PBE was carried out for a relaxed Sr2LiI5 crystal.

The space group is Cmcm (No. 63) and the conventional cell measures 6.4957, 15.4999 and 15.5078 Å, with angles of 90.00, 90.00 and 90.00 degrees. The distinct sites, in fractional coordinates, are Sr at (0.0000, 0.1476, 0.0661), Li at (0.0000, 0.1857, 0.7500), I at (0.0000, 0.0536, 0.6224), I at (0.0000, 0.2581, 0.2500) and I at (0.0000, 0.3165, 0.5741).

Its total energy is -3.15 eV/atom. The calculation puts the formation energy (no corrections) at -1522 meV/atom. The value obtained for the density of states at the Fermi level is 0.00 states/eV per cell. For the theoretical density, the calculation gives 3474 kg/m³.

=====

4.
A plane-wave DFT calculation with PBE was carried out for a relaxed AlV6Ge2 crystal.

The space group is P-1 (No. 2) and the conventional cell measures 2.6600, 4.3479 and 11.2182 Å, with angles of 101.14, 91.03 and 90.02 degrees. The distinct sites, in fractional coordinates, are Al at (0.0000, 0.0000, 0.0000), V at (0.0662, 0.6664, 0.3349), V at (0.3229, 0.4412, 0.8809), V at (0.3649, 0.1079, 0.2196) and Ge at (0.3090, 0.7855, 0.5696).

Its total energy is -7.60 eV/atom. The value obtained for the formation energy is -0.083 eV/atom. The value obtained for the density of states at the Fermi level is 9.92 states/eV per cell. For the theoretical density, the calculation gives 6235 kg/m³.

=====

5.
A plane-wave DFT calculation with PBE was carried out for a relaxed LiCeIn4O8 crystal.

The space group is R3m (No. 160, hexagonal axes) and the conventional cell measures 6.6152, 6.6152 and 15.7878 Å, with angles of 90.00, 90.00 and 120.00 degrees. The distinct sites, in fractional coordinates, are Li at (0.0000, 0.0000, 0.0000), Ce at (0.0000, 0.0000, 0.3804), In at (0.0000, 0.0000, 0.6162), In at (0.0007, 0.5003, 0.4973), O at (0.0000, 0.0000, 0.2373), O at (0.0000, 0.0000, 0.7528), O at (0.0322, 0.5161, 0.7528) and O at (0.1759, 0.3519, 0.5723).

Its total energy is -6.07 eV/atom. The calculation puts the formation energy (no corrections) at -1892 meV/atom. The value obtained for the density of states at the Fermi level is 13.94 states/eV per cell. For the theoretical density, the calculation gives 6114 kg/m³.

=====

6.
A plane-wave DFT calculation with PBE was carried out for a relaxed TeSeF2 crystal.

The space group is I-42d (No. 122) and the conventional cell measures 4.1726, 4.1726 and 16.1050 Å, with angles of 90.00, 90.00 and 90.00 degrees. The distinct sites, in fractional coordinates, are Te at (0.0000, 0.0000, 0.0000), Se at (0.0000, 0.0000, 0.5000) and F at (0.1602, 0.2500, 0.1250).

Its total energy is -3.36 eV/atom. For the offset from the most stable computed form, the calculation gives 397 meV/atom. The calculation puts the formation energy (no corrections) at -764 meV/atom. The value obtained for the density of states at the Fermi level is 8.02 states/eV per cell. For the theoretical density, the calculation gives 5793 kg/m³.

=====

7.
A plane-wave DFT calculation with PBE was carried out for a relaxed Ca2HgO crystal.

The space group is P4/mmm (No. 123) and the conventional cell measures 3.1311, 3.1311 and 7.8467 Å, with angles of 90.00, 90.00 and 90.00 degrees. The distinct sites, in fractional coordinates, are Ca at (0.0000, 0.0000, 0.1846), Hg at (0.5000, 0.5000, 0.5000) and O at (0.5000, 0.5000, 0.0000).

Its total energy is -3.59 eV/atom. For the offset from the most stable computed form, the calculation gives 290 meV/atom. The calculation puts the formation energy (no corrections) at -1276 meV/atom. The value obtained for the density of states at the Fermi level is 1.34 states/eV per cell. For the theoretical density, the calculation gives 6405 kg/m³.

=====

8.
A plane-wave DFT calculation with PBE was carried out for a relaxed Pm6Ho2Mg crystal.

The space group is P4_2/mnm (No. 136) and the conventional cell measures 10.7013, 10.7013 and 5.1131 Å, with angles of 90.00, 90.00 and 90.00 degrees. The distinct sites, in fractional coordinates, are Pm at (0.0016, 0.3324, 0.0000), Pm at (0.1622, 0.8378, 0.5000), Ho at (0.1691, 0.1691, 0.5000) and Mg at (0.0000, 0.0000, 0.0000).

Its total energy is -4.34 eV/atom. For the offset from the most stable computed form, the calculation gives 0 meV/atom. The value obtained for the formation energy is 0.022 eV/atom. The value obtained for the density of states at the Fermi level is 26.91 states/eV per cell. For the theoretical density, the calculation gives 6943 kg/m³.

=====

9.
A plane-wave DFT calculation with PBE was carried out for a relaxed CoNiPPt2 crystal.

The space group is P4/mmm (No. 123) and the conventional cell measures 4.6075, 4.6075 and 4.1339 Å, with angles of 90.00, 90.00 and 90.00 degrees. The distinct sites, in fractional coordinates, are Co at (0.0000, 0.0000, 0.0000), Ni at (0.0000, 0.0000, 0.5000), P at (0.5000, 0.5000, 0.0000) and Pt at (0.0000, 0.5000, 0.5000).

Its total energy is -4.95 eV/atom. The value obtained for the formation energy is 1.125 eV/atom. The value obtained for the density of states at the Fermi level is 6.72 states/eV per cell. For the theoretical density, the calculation gives 10195 kg/m³.

=====

10.
A plane-wave DFT calculation with PBE was carried out for a relaxed NaTi2Ga5O12 crystal.

The space group is Pbam (No. 55) and the conventional cell measures 9.4803, 15.8680 and 3.0277 Å, with angles of 90.00, 90.00 and 90.00 degrees. The distinct sites, in fractional coordinates, are Na at (0.0000, 0.0000, 0.0000), Ti at (0.2283, 0.3566, 0.0000), Ga at (0.0000, 0.5000, 0.5000), Ga at (0.0077, 0.1991, 0.5000), Ga at (0.1963, 0.6467, 0.0000), O at (0.1045, 0.4453, 0.0000), O at (0.1065, 0.1426, 0.0000), O at (0.1133, 0.7545, 0.0000), O at (0.1404, 0.5909, 0.5000), O at (0.1417, 0.2951, 0.5000) and O at (0.1452, 0.8955, 0.5000).

Its total energy is -6.80 eV/atom. The calculation puts the formation energy (no corrections) at -2212 meV/atom. The value obtained for the density of states at the Fermi level is 0.00 states/eV per cell. For the theoretical density, the calculation gives 4808 kg/m³.

=====

11.
A plane-wave DFT calculation with PBE was carried out for a relaxed MgCu2Ge crystal.

The space group is P4/mmm (No. 123) and the conventional cell measures 3.2528, 3.2528 and 5.6670 Å, with angles of 90.00, 90.00 and 90.00 degrees. The distinct sites, in fractional coordinates, are Mg at (0.0000, 0.0000, 0.0000), Cu at (0.5000, 0.5000, 0.2591) and Ge at (0.0000, 0.0000, 0.5000).

Its total energy is -3.62 eV/atom. The value obtained for the formation energy is -0.019 eV/atom. The value obtained for the density of states at the Fermi level is 0.77 states/eV per cell. For the theoretical density, the calculation gives 6204 kg/m³.

=====

12.
A plane-wave DFT calculation with PBE was carried out for a relaxed CeZrAu crystal.

The space group is P-6m2 (No. 187) and the conventional cell measures 4.9497, 4.9497 and 3.0217 Å, with angles of 90.00, 90.00 and 120.00 degrees. The distinct sites, in fractional coordinates, are Ce at (0.0000, 0.0000, 0.0000), Zr at (0.6667, 0.3333, 0.0000) and Au at (0.3333, 0.6667, 0.5000).

Its total energy is -6.02 eV/atom. For the offset from the most stable computed form, the calculation gives 229 meV/atom. The value obtained for the formation energy is -0.101 eV/atom. The value obtained for the density of states at the Fermi level is 4.50 states/eV per cell. For the theoretical density, the calculation gives 11093 kg/m³.

=====

13.
A plane-wave DFT calculation with PBE was carried out for a relaxed Rb3HfPb2S6 crystal.

The space group is C2/m (No. 12) and the conventional cell measures 7.1836, 12.4278 and 7.9752 Å, with angles of 90.00, 107.50 and 90.00 degrees. The distinct sites, in fractional coordinates, are Rb at (0.0000, 0.0000, 0.0000), Rb at (0.0000, 0.3251, 0.0000), Hf at (0.0000, 0.5000, 0.5000), Pb at (0.0000, 0.1657, 0.5000), S at (0.2129, 0.3512, 0.6926) and S at (0.2306, 0.5000, 0.3048).

Its total energy is -4.80 eV/atom. The calculation puts the formation energy (no corrections) at -1048 meV/atom. The value obtained for the density of states at the Fermi level is 10.02 states/eV per cell. For the theoretical density, the calculation gives 5095 kg/m³.

=====

14.
A plane-wave DFT calculation with PBE was carried out for a relaxed InTe2W crystal.

The space group is I-42d (No. 122) and the conventional cell measures 7.3002, 7.3002 and 10.9573 Å, with angles of 90.00, 90.00 and 90.00 degrees. The distinct sites, in fractional coordinates, are In at (0.0000, 0.0000, 0.0000), Te at (0.1739, 0.2500, 0.6250) and W at (0.0000, 0.0000, 0.5000).

Its total energy is -4.94 eV/atom. The calculation puts the formation energy (no corrections) at 557 meV/atom. The value obtained for the density of states at the Fermi level is 18.61 states/eV per cell. For the theoretical density, the calculation gives 6300 kg/m³.

=====

15.
A plane-wave DFT calculation with PBE was carried out for a relaxed Cd2P crystal.

The space group is I4_1/amd (No. 141, origin choice 2) and the conventional cell measures 3.2401, 3.2401 and 24.4638 Å, with angles of 90.00, 90.00 and 90.00 degrees. The distinct sites, in fractional coordinates, are Cd at (0.0000, 0.2500, 0.3011) and P at (0.0000, 0.2500, 0.8750).

Its total energy is -2.13 eV/atom. For the offset from the most stable computed form, the calculation gives 194 meV/atom. The value obtained for the formation energy is 0.283 eV/atom. The value obtained for the density of states at the Fermi level is 5.65 states/eV per cell. For the theoretical density, the calculation gives 6615 kg/m³.

=====

16.
A plane-wave DFT calculation with PBE was carried out for a relaxed LiY2Ag6 crystal.

The space group is C2/m (No. 12) and the conventional cell measures 5.2365, 15.5864 and 5.2275 Å, with angles of 90.00, 119.33 and 90.00 degrees. The distinct sites, in fractional coordinates, are Li at (0.0000, 0.0000, 0.0000), Y at (0.0000, 0.1628, 0.5000), Ag at (0.1427, 0.5000, 0.3143) and Ag at (0.1688, 0.3354, 0.8366).

Its total energy is -3.74 eV/atom. The value obtained for the formation energy is -0.188 eV/atom. The value obtained for the density of states at the Fermi level is 9.41 states/eV per cell. For the theoretical density, the calculation gives 7428 kg/m³.

=====

17.
A plane-wave DFT calculation with PBE was carried out for a relaxed Nb2InFeH crystal.

The space group is P4/mmm (No. 123) and the conventional cell measures 4.5428, 4.5428 and 4.8903 Å, with angles of 90.00, 90.00 and 90.00 degrees. The distinct sites, in fractional coordinates, are Nb at (0.0000, 0.5000, 0.0000), In at (0.0000, 0.0000, 0.5000), Fe at (0.0000, 0.0000, 0.0000) and H at (0.5000, 0.5000, 0.5000).

Its total energy is -5.79 eV/atom. For the offset from the most stable computed form, the calculation gives 1167 meV/atom. The value obtained for the density of states at the Fermi level is 4.63 states/eV per cell. For the theoretical density, the calculation gives 5882 kg/m³.

=====

18.
A plane-wave DFT calculation with PBE was carried out for a relaxed NdYTe2O crystal.

The space group is P4/nmm (No. 129, origin choice 2) and the conventional cell measures 4.2218, 4.2218 and 15.7882 Å, with angles of 90.00, 90.00 and 90.00 degrees. The distinct sites, in fractional coordinates, are Nd at (0.2500, 0.2500, 0.0703), Y at (0.2500, 0.2500, 0.6291), Te at (0.2500, 0.2500, 0.4157), Te at (0.2500, 0.2500, 0.8103) and O at (0.2500, 0.7500, 0.0000).

Its total energy is -6.56 eV/atom. The calculation puts the formation energy (no corrections) at -2067 meV/atom. The value obtained for the density of states at the Fermi level is 2.97 states/eV per cell. For the theoretical density, the calculation gives 5952 kg/m³.

=====

19.
A plane-wave DFT calculation with PBE was carried out for a relaxed LaPmCd2In2 crystal.

The space group is P-3m1 (No. 164) and the conventional cell measures 4.9759, 4.9759 and 7.6652 Å, with angles of 90.00, 90.00 and 120.00 degrees. The distinct sites, in fractional coordinates, are La at (0.0000, 0.0000, 0.0000), Pm at (0.0000, 0.0000, 0.5000), Cd at (0.3333, 0.6667, 0.2754) and In at (0.3333, 0.6667, 0.7423).

Its total energy is -3.28 eV/atom. The value obtained for the formation energy is -0.453 eV/atom. The value obtained for the density of states at the Fermi level is 3.66 states/eV per cell. For the theoretical density, the calculation gives 7460 kg/m³.

=====

20.
A plane-wave DFT calculation with PBE was carried out for a relaxed Li4Hf3Se8 crystal.

The space group is R-3m (No. 166, hexagonal axes) and the conventional cell measures 7.6926, 7.6926 and 20.4699 Å, with angles of 90.00, 90.00 and 120.00 degrees. The distinct sites, in fractional coordinates, are Li at (0.0000, 0.0000, 0.0000), Li at (0.0000, 0.0000, 0.1337), Li at (0.0000, 0.0000, 0.5000), Hf at (0.0000, 0.5000, 0.0000), Se at (0.0000, 0.0000, 0.2581) and Se at (0.0110, 0.5055, 0.2578).

Its total energy is -5.66 eV/atom. The calculation puts the formation energy (no corrections) at -1306 meV/atom. For the theoretical density, the calculation gives 5674 kg/m³.